# Ac3Mg2N2 (GGA-PBE, optimized geometry)
# Uncorrected formation energy, eV per atom: -0.563
# Space group: No. 12
data_Ac3Mg2N2
_chemical_formula_sum 'Ac3 Mg2 N2'
_space_group_name_H-M_alt 'P 1'
_space_group_IT_number 1
_space_group_name_Hall 'P 1'
_cell_length_a 3.740
_cell_length_b 6.775
_cell_length_c 8.091
_cell_angle_alpha 77.45
_cell_angle_beta 76.64
_cell_angle_gamma 73.98
loop_
_atom_site_label
_atom_site_fract_x
_atom_site_fract_y
_atom_site_fract_z
Ac1 0.500 0.000 0.000
Ac2 0.661 0.461 0.216
Ac3 0.339 0.539 0.784
Mg1 0.862 0.861 0.416
Mg2 0.138 0.139 0.584
N1 0.876 0.307 0.941
N2 0.124 0.693 0.059

=====

# Ac4Mg2N (GGA-PBE, optimized geometry)
# Uncorrected formation energy, eV per atom: -0.241
# Space group: No. 139
data_Ac4Mg2N
_chemical_formula_sum 'Ac4 Mg2 N1'
_space_group_name_H-M_alt 'P 1'
_space_group_IT_number 1
_space_group_name_Hall 'P 1'
_cell_length_a 5.442
_cell_length_b 5.442
_cell_length_c 9.171
_cell_angle_alpha 72.74
_cell_angle_beta 72.74
_cell_angle_gamma 90.00
loop_
_atom_site_label
_atom_site_fract_x
_atom_site_fract_y
_atom_site_fract_z
Ac1 0.843 0.843 0.314
Ac2 0.157 0.157 0.686
Ac3 0.000 0.500 0.000
Ac4 0.500 0.000 0.000
Mg1 0.631 0.631 0.739
Mg2 0.369 0.369 0.261
N1 0.000 0.000 0.000

=====

# Ac2MgN (GGA-PBE, optimized geometry)
# Uncorrected formation energy, eV per atom: -0.561
# Space group: No. 66
# Offset from the most stable computed form, eV/atom: 0.000
data_Ac2MgN
_chemical_formula_sum 'Ac4 Mg2 N2'
_space_group_name_H-M_alt 'P 1'
_space_group_IT_number 1
_space_group_name_Hall 'P 1'
_cell_length_a 6.227
_cell_length_b 6.279
_cell_length_c 7.662
_cell_angle_alpha 90.00
_cell_angle_beta 113.98
_cell_angle_gamma 90.00
loop_
_atom_site_label
_atom_site_fract_x
_atom_site_fract_y
_atom_site_fract_z
Ac1 0.245 0.121 0.641
Ac2 0.057 0.621 0.266
Ac3 0.669 0.621 0.641
Ac4 0.481 0.121 0.266
Mg1 0.863 0.121 0.953
Mg2 0.363 0.621 0.954
N1 0.363 0.871 0.454
N2 0.363 0.371 0.454

=====

# Ac6Mg2N (GGA-PBE, optimized geometry)
# Uncorrected formation energy, eV per atom: -0.200
# Space group: No. 128
data_Ac6Mg2N
_chemical_formula_sum 'Ac12 Mg4 N2'
_space_group_name_H-M_alt 'P 1'
_space_group_IT_number 1
_space_group_name_Hall 'P 1'
_cell_length_a 7.716
_cell_length_b 7.716
_cell_length_c 10.877
_cell_angle_alpha 90.00
_cell_angle_beta 90.00
_cell_angle_gamma 90.00
loop_
_atom_site_label
_atom_site_fract_x
_atom_site_fract_y
_atom_site_fract_z
Ac1 0.999 0.000 0.257
Ac2 0.758 0.761 0.500
Ac3 0.739 0.742 0.000
Ac4 0.761 0.242 0.500
Ac5 0.742 0.261 0.000
Ac6 0.501 0.500 0.243
Ac7 0.001 0.000 0.743
Ac8 0.242 0.239 0.500
Ac9 0.261 0.258 0.000
Ac10 0.239 0.758 0.500
Ac11 0.258 0.739 0.000
Ac12 0.499 0.500 0.757
Mg1 0.000 0.500 0.750
Mg2 0.500 0.000 0.750
Mg3 0.500 0.000 0.250
Mg4 0.000 0.500 0.250
N1 0.500 0.500 0.000
N2 0.000 0.000 0.500